First-principles (PBE+U) data for crystalline CoSi2GeF at its relaxed geometry, as listed in Alexandria via LeMat-Bulk.

calculated volume: 15.5 Å³ per atom
crystal system: tetragonal
space group: P4/mmm (123)
total DFT energy (no corrections): -18.503 eV/cell

Cell: 4.1894 4.4070 4.1894 Å, 90.00 90.00 90.00°
With the nearest neighbours (Å) after each atom.
Fractional positions:
Ge 0.0000 0.5000 0.0000  2 F 2.20
Co 0.5000 0.5000 0.5000  4 Ge 2.96, 8 Si 3.04
Si 0.0000 0.0000 0.5000  2 F 2.09
Si 0.5000 0.0000 0.0000  2 F 2.09
F 0.0000 0.0000 0.0000  4 Si 2.09, 2 Ge 2.20